1.
{
  "formula": "TbMn3Tl2F12",
  "functional": "PBE+U",
  "state": "relaxed",
  "total_magnetization_mub_per_cell": 14.00,
  "spacegroup": "R-3m",
  "n_ef_per_ev_atom": 0.009,
  "vol_a3_per_atom": 18.9,
  "total_energy_ev_per_fu": -104.025,
  "lattice_angstrom": [[3.8892, 2.2454, 6.4847], [-3.8892, 2.2454, 6.4847], [0.0000, -4.4908, 6.4847]],
  "species": ["Tb", "Mn", "Mn", "Mn", "Tl", "Tl", "F", "F", "F", "F", "F", "F", "F", "F", "F", "F", "F", "F"],
  "frac_coords": [[0.0000, 0.0000, 0.0000], [0.0000, 0.0000, 0.5000], [0.0000, 0.5000, 0.0000], [0.5000, 0.0000, 0.0000], [0.3179, 0.3179, 0.3179], [0.6821, 0.6821, 0.6821], [0.0537, 0.6959, 0.6959], [0.0801, 0.0801, 0.6629], [0.0801, 0.6629, 0.0801], [0.3041, 0.3041, 0.9463], [0.3041, 0.9463, 0.3041], [0.3371, 0.9199, 0.9199], [0.6629, 0.0801, 0.0801], [0.6959, 0.0537, 0.6959], [0.6959, 0.6959, 0.0537], [0.9199, 0.3371, 0.9199], [0.9199, 0.9199, 0.3371], [0.9463, 0.3041, 0.3041]]
}

2.
{
  "formula": "Mn2TcF",
  "functional": "PBE+U",
  "state": "relaxed",
  "relative_energy_mev_per_atom": 0.0,
  "total_magnetization_mub_per_cell": 14.40,
  "spacegroup": "I-42d",
  "n_ef_per_ev_atom": 0.549,
  "vol_a3_per_atom": 16.3,
  "total_energy_ev_per_fu": -27.062,
  "lattice_angstrom": [[-3.2537, 3.2537, 3.0800], [3.2537, -3.2537, 3.0800], [3.2537, 3.2537, -3.0800]],
  "species": ["Mn", "Mn", "Mn", "Mn", "Tc", "Tc", "F", "F"],
  "frac_coords": [[0.0636, 0.6250, 0.9386], [0.3750, 0.3136, 0.4386], [0.6864, 0.1250, 0.0614], [0.8750, 0.9364, 0.5614], [0.2500, 0.7500, 0.5000], [0.5000, 0.5000, 0.0000], [0.0000, 0.0000, 0.0000], [0.7500, 0.2500, 0.5000]]
}

3.
{
  "formula": "Mn2TcF",
  "functional": "PBE+U",
  "state": "relaxed",
  "relative_energy_mev_per_atom": 254.3,
  "total_magnetization_mub_per_cell": 7.16,
  "spacegroup": "Fm-3m",
  "n_ef_per_ev_atom": 0.780,
  "vol_a3_per_atom": 16.0,
  "total_energy_ev_per_fu": -26.045,
  "lattice_angstrom": [[0.0000, 3.1775, 3.1775], [3.1775, 0.0000, 3.1775], [3.1775, 3.1775, 0.0000]],
  "species": ["Mn", "Mn", "Tc", "F"],
  "frac_coords": [[0.2500, 0.2500, 0.2500], [0.7500, 0.7500, 0.7500], [0.0000, 0.0000, 0.0000], [0.5000, 0.5000, 0.5000]]
}

4.
{
  "formula": "Mn2TcF8",
  "functional": "PBE+U",
  "state": "relaxed",
  "total_magnetization_mub_per_cell": 13.00,
  "spacegroup": "P-1",
  "n_ef_per_ev_atom": 0.000,
  "vol_a3_per_atom": 17.1,
  "total_energy_ev_per_fu": -65.915,
  "lattice_angstrom": [[4.9598, 0.0000, 0.0000], [2.3074, 4.7753, 0.0000], [1.2178, -0.2671, 7.9217]],
  "species": ["Mn", "Mn", "Tc", "F", "F", "F", "F", "F", "F", "F", "F"],
  "frac_coords": [[0.0238, 0.4369, 0.3083], [0.9762, 0.5631, 0.6917], [0.5000, 0.0000, 0.0000], [0.1169, 0.0719, 0.1482], [0.1450, 0.6576, 0.4642], [0.2745, 0.2611, 0.8346], [0.4563, 0.3181, 0.1395], [0.5437, 0.6819, 0.8605], [0.7255, 0.7389, 0.1654], [0.8550, 0.3424, 0.5358], [0.8831, 0.9281, 0.8518]]
}

5.
{
  "formula": "TiMn2TcF",
  "functional": "PBE+U",
  "state": "relaxed",
  "total_magnetization_mub_per_cell": 9.09,
  "spacegroup": "P4/mmm",
  "n_ef_per_ev_atom": 0.676,
  "vol_a3_per_atom": 15.4,
  "total_energy_ev_per_fu": -35.466,
  "lattice_angstrom": [[4.2979, 0.0000, 0.0000], [0.0000, 4.2979, 0.0000], [0.0000, 0.0000, 4.1701]],
  "species": ["Ti", "Mn", "Mn", "Tc", "F"],
  "frac_coords": [[0.0000, 0.0000, 0.0000], [0.0000, 0.5000, 0.5000], [0.5000, 0.0000, 0.5000], [0.5000, 0.5000, 0.0000], [0.0000, 0.0000, 0.5000]]
}

6.
{
  "formula": "Mn3TeF",
  "functional": "PBE+U",
  "state": "relaxed",
  "relative_energy_mev_per_atom": 740.4,
  "total_magnetization_mub_per_cell": 14.89,
  "spacegroup": "Pm-3m",
  "n_ef_per_ev_atom": 1.041,
  "vol_a3_per_atom": 33.6,
  "total_energy_ev_per_fu": -24.265,
  "lattice_angstrom": [[5.5168, 0.0000, 0.0000], [0.0000, 5.5168, 0.0000], [0.0000, 0.0000, 5.5168]],
  "species": ["Mn", "Mn", "Mn", "Te", "F"],
  "frac_coords": [[0.0000, 0.0000, 0.5000], [0.0000, 0.5000, 0.0000], [0.5000, 0.0000, 0.0000], [0.0000, 0.0000, 0.0000], [0.5000, 0.5000, 0.5000]]
}

7.
{
  "formula": "Mn2TeF",
  "functional": "PBE+U",
  "state": "relaxed",
  "relative_energy_mev_per_atom": 0.0,
  "total_magnetization_mub_per_cell": 20.00,
  "spacegroup": "I-42d",
  "n_ef_per_ev_atom": 0.604,
  "vol_a3_per_atom": 24.0,
  "total_energy_ev_per_fu": -22.773,
  "lattice_angstrom": [[-2.7744, 2.7744, 6.2354], [2.7744, -2.7744, 6.2354], [2.7744, 2.7744, -6.2354]],
  "species": ["Mn", "Mn", "Mn", "Mn", "Te", "Te", "F", "F"],
  "frac_coords": [[0.0354, 0.6250, 0.9104], [0.3750, 0.2854, 0.4104], [0.7146, 0.1250, 0.0896], [0.8750, 0.9646, 0.5896], [0.2500, 0.7500, 0.5000], [0.5000, 0.5000, 0.0000], [0.0000, 0.0000, 0.0000], [0.7500, 0.2500, 0.5000]]
}

8.
{
  "formula": "Mn2TeF",
  "functional": "PBE+U",
  "state": "relaxed",
  "relative_energy_mev_per_atom": 193.3,
  "total_magnetization_mub_per_cell": 9.93,
  "spacegroup": "Fm-3m",
  "n_ef_per_ev_atom": 0.645,
  "vol_a3_per_atom": 19.9,
  "total_energy_ev_per_fu": -22.000,
  "lattice_angstrom": [[0.0000, 3.4143, 3.4143], [3.4143, 0.0000, 3.4143], [3.4143, 3.4143, 0.0000]],
  "species": ["Mn", "Mn", "Te", "F"],
  "frac_coords": [[0.2500, 0.2500, 0.2500], [0.7500, 0.7500, 0.7500], [0.0000, 0.0000, 0.0000], [0.5000, 0.5000, 0.5000]]
}